Entry 1:
Material: CoSiHgW
Method: DFT, PBE
State: relaxed

Properties
Its space group is F-43m. The value obtained for the total magnetization is 0.509 μB/f.u. The value obtained for the total energy is -5.8056 eV/atom. For the volume, the calculation gives 60.2 Å³/f.u.

a b c (Å): 4.398 4.398 4.398
angles (deg): 60.00 60.00 60.00
Positions (direct):
Co 0.000 0.000 0.000
Si 0.750 0.750 0.750
Hg 0.250 0.250 0.250
W 0.500 0.500 0.500

=====

Entry 2:
Material: DyMgB
Method: DFT, PBE
State: relaxed

Properties
Its space group is F-43m. The value obtained for the total magnetization is 0.001 μB/f.u. The value obtained for the total energy is -3.4697 eV/atom. For the volume, the calculation gives 57.1 Å³/f.u.

a b c (Å): 4.323 4.323 4.323
angles (deg): 60.00 60.00 60.00
Positions (direct):
Dy 0.000 0.000 0.000
Mg 0.750 0.750 0.750
B 0.500 0.500 0.500

=====

| no. | theoretical density (g cm⁻³) |
| --- | --- |
| 1 | 13.014 |
| 2 | 5.743 |